The following is a PBE with a Hubbard U calculation of a relaxed structure of Li2Ce2CrO6, from the Alexandria database.

Values from the calculation:
space-group type: No. 166
V: 12.60 Å³/atom
E_tot: -79.133 eV/cell

Cell lengths 5.9444, 5.9444, 5.9444 Å; angles 57.10, 57.10, 57.10 degrees
With the nearest neighbours (Å) after each atom.
Element x y z (fractional)
Li 0.0770 0.0770 0.0770  3 O 1.79
Li 0.9230 0.9230 0.9230  3 O 1.79
Ce 0.2977 0.2977 0.2977  3 O 2.23
Ce 0.7023 0.7023 0.7023  3 O 2.23
Cr 0.5000 0.5000 0.5000  6 O 2.01
O 0.2582 0.2582 0.7123  1 Li 1.79
O 0.2582 0.7123 0.2582  1 Li 1.79
O 0.2877 0.7418 0.7418  1 Li 1.79
O 0.7123 0.2582 0.2582  1 Li 1.79
O 0.7418 0.2877 0.7418  1 Li 1.79
O 0.7418 0.7418 0.2877  1 Li 1.79